# PBE RbNpP2, relaxed
# - Mass density: 5.532 g/cm3
# - Energy: -6.62 eV per atom
# - Calculated formation energy: -438 meV per atom
# - E above lowest polymorph: 0.023 eV per atom
data_RbNpP2
_cell_length_a 4.1393
_cell_length_b 4.1393
_cell_length_c 23.3270
_cell_angle_alpha 90.00
_cell_angle_beta 90.00
_cell_angle_gamma 120.00
_space_group_name_H-M_alt 'R 3 m'
_space_group_IT_number 160
_space_group_name_Hall 'R 3 -2"'
loop_
_atom_site_label
_atom_site_type_symbol
_atom_site_fract_x
_atom_site_fract_y
_atom_site_fract_z
Rb1 Rb 0.0000 0.0000 0.0000
Np1 Np 0.0000 0.0000 0.8303
P1 P 0.0000 0.0000 0.2193
P2 P 0.0000 0.0000 0.4413



# PBE Al4FeIr5, relaxed
# - Mass density: 13.594 g/cm3
# - Energy: -7.53 eV per atom
# - Calculated formation energy: -757 meV per atom
data_Al4FeIr5
_cell_length_a 2.999
_cell_length_b 2.999
_cell_length_c 15.277
_cell_angle_alpha 90.00
_cell_angle_beta 90.00
_cell_angle_gamma 90.00
_space_group_name_H-M_alt 'P 4/m m m'
_space_group_IT_number 123
_space_group_name_Hall '-P 4 2'
loop_
_atom_site_label
_atom_site_type_symbol
_atom_site_fract_x
_atom_site_fract_y
_atom_site_fract_z
Al1 Al 0.000 0.000 0.100
Al2 Al 0.000 0.000 0.301
Fe1 Fe 0.000 0.000 0.500
Ir1 Ir 0.500 0.500 0.000
Ir2 Ir 0.500 0.500 0.198
Ir3 Ir 0.500 0.500 0.396